Compound: CaNbNiIr2
Source: Alexandria
Functional: PBE
Structure: relaxed

a b c (Å): 4.7482 4.7482 5.3000
angles (deg): 90.00 90.00 90.00
Atoms (fractional coordinates):
Ca (0.0000, 0.0000, 0.0000)
Nb (0.0000, 0.0000, 0.5000)
Ni (0.5000, 0.5000, 0.0000)
Ir (0.0000, 0.5000, 0.5000)
Ir (0.5000, 0.0000, 0.5000)

Summary:
crystal system: tetragonal
total energy: -5.6811 eV/atom
DOS at the Fermi energy: 6.008 states/eV/f.u.

Compound: CaNbIrO6
Source: Alexandria
Functional: PBE
Structure: relaxed

a b c (Å): 4.8881 4.8881 9.5862
angles (deg): 90.00 90.00 90.00
Atoms (fractional coordinates):
Ca (0.0000, 0.0000, 0.0000)
Ca (0.5000, 0.5000, 0.5000)
Nb (0.0000, 0.0000, 0.6653)
Nb (0.5000, 0.5000, 0.1653)
Ir (0.0000, 0.0000, 0.3259)
Ir (0.5000, 0.5000, 0.8259)
O (0.1733, 0.1733, 0.4908)
O (0.2117, 0.2117, 0.1860)
O (0.2174, 0.2174, 0.8068)
O (0.2826, 0.7174, 0.3068)
O (0.2883, 0.7117, 0.6860)
O (0.3267, 0.6733, 0.9908)
O (0.6733, 0.3267, 0.9908)
O (0.7117, 0.2883, 0.6860)
O (0.7174, 0.2826, 0.3068)
O (0.7826, 0.7826, 0.8068)
O (0.7883, 0.7883, 0.1860)
O (0.8267, 0.8267, 0.4908)

Summary:
crystal system: tetragonal
energy relative to the elements, uncorrected: -1.908 eV/atom
DOS at the Fermi energy: 5.283 states/eV/f.u.

Compound: CaNbRe2Ir
Source: Alexandria
Functional: PBE
Structure: relaxed

a b c (Å): 4.5583 4.5583 4.6157
angles (deg): 90.00 90.00 90.00
Atoms (fractional coordinates):
Ca (0.0000, 0.0000, 0.0000)
Nb (0.5000, 0.5000, 0.5000)
Re (0.0000, 0.5000, 0.0000)
Re (0.5000, 0.0000, 0.0000)
Ir (0.0000, 0.0000, 0.5000)

Summary:
crystal system: tetragonal
total energy: -6.5346 eV/atom
DOS at the Fermi energy: 5.767 states/eV/f.u.

Compound: CaNbIr2Se
Source: Alexandria
Functional: PBE
Structure: relaxed

a b c (Å): 4.7085 4.7085 4.7548
angles (deg): 90.00 90.00 90.00
Atoms (fractional coordinates):
Ca (0.0000, 0.0000, 0.0000)
Nb (0.5000, 0.5000, 0.0000)
Ir (0.0000, 0.5000, 0.5000)
Ir (0.5000, 0.0000, 0.5000)
Se (0.5000, 0.5000, 0.5000)

Summary:
crystal system: tetragonal
energy relative to the elements, uncorrected: 0.473 eV/atom
DOS at the Fermi energy: 6.174 states/eV/f.u.

Compound: Ca2NbTcIr
Source: Alexandria
Functional: PBE
Structure: relaxed

a b c (Å): 5.4745 5.4745 4.4635
angles (deg): 90.00 90.00 90.00
Atoms (fractional coordinates):
Ca (0.0000, 0.5000, 0.0000)
Ca (0.5000, 0.0000, 0.0000)
Nb (0.0000, 0.0000, 0.0000)
Tc (0.0000, 0.0000, 0.5000)
Ir (0.5000, 0.5000, 0.5000)

Summary:
crystal system: tetragonal
total energy: -5.1352 eV/atom
DOS at the Fermi energy: 5.672 states/eV/f.u.

Compound: CaNb2IrW
Source: Alexandria
Functional: PBE
Structure: relaxed

a b c (Å): 4.9486 4.9486 4.8870
angles (deg): 90.00 90.00 90.00
Atoms (fractional coordinates):
Ca (0.0000, 0.0000, 0.0000)
Nb (0.0000, 0.5000, 0.5000)
Nb (0.5000, 0.0000, 0.5000)
Ir (0.5000, 0.5000, 0.5000)
W (0.5000, 0.5000, 0.0000)

Summary:
crystal system: tetragonal
total energy: -7.8145 eV/atom
DOS at the Fermi energy: 8.050 states/eV/f.u.

Compound: Ca2YNbIr
Source: Alexandria
Functional: PBE
Structure: relaxed

a b c (Å): 5.4529 5.4529 4.9804
angles (deg): 90.00 90.00 90.00
Atoms (fractional coordinates):
Ca (0.0000, 0.5000, 0.0000)
Ca (0.5000, 0.0000, 0.0000)
Y (0.0000, 0.0000, 0.5000)
Nb (0.5000, 0.5000, 0.5000)
Ir (0.5000, 0.5000, 0.0000)

Summary:
crystal system: tetragonal
total energy: -5.6039 eV/atom
DOS at the Fermi energy: 5.072 states/eV/f.u.

Compound: CaZrNbIr2
Source: Alexandria
Functional: PBE
Structure: relaxed

a b c (Å): 6.2325 6.2325 6.2325
angles (deg): 137.52 137.52 61.64
Atoms (fractional coordinates):
Ca (0.0000, 0.0000, 0.0000)
Zr (0.7500, 0.2500, 0.5000)
Nb (0.2500, 0.7500, 0.5000)
Ir (0.3794, 0.3794, 0.0000)
Ir (0.6206, 0.6206, 0.0000)

Summary:
crystal system: tetragonal
total energy: -8.2452 eV/atom
DOS at the Fermi energy: 3.114 states/eV/f.u.

Compound: CaNdIr
Source: Alexandria
Functional: PBE
Structure: relaxed

a b c (Å): 3.4633 7.1829 7.2339
angles (deg): 104.48 90.04 103.79
Atoms (fractional coordinates):
Ca (0.1191, 0.2404, 0.0594)
Ca (0.8809, 0.7596, 0.9406)
Nd (0.1256, 0.2523, 0.5639)
Nd (0.8744, 0.7477, 0.4361)
Ir (0.4994, 0.9991, 0.7309)
Ir (0.5006, 0.0009, 0.2691)

Summary:
distance to the lowest polymorph of the same formula: 0.20 eV/f.u.
crystal system: triclinic
DOS at the Fermi energy: 1.835 states/eV/f.u.

Compound: CaNdIr
Source: Alexandria
Functional: PBE
Structure: relaxed

a b c (Å): 7.4040 7.4040 6.2010
angles (deg): 103.17 103.17 34.27
Atoms (fractional coordinates):
Ca (0.1629, 0.1629, 0.3266)
Ca (0.8371, 0.8371, 0.6734)
Nd (0.3968, 0.3968, 0.1896)
Nd (0.6032, 0.6032, 0.8104)
Ir (0.2255, 0.2255, 0.8274)
Ir (0.7745, 0.7745, 0.1726)

Summary:
distance to the lowest polymorph of the same formula: 0.30 eV/f.u.
crystal system: monoclinic
DOS at the Fermi energy: 1.465 states/eV/f.u.

Compound: Ca2NdIr
Source: Alexandria
Functional: PBE
Structure: relaxed

a b c (Å): 7.6697 9.5258 6.4911
angles (deg): 90.00 90.00 90.00
Atoms (fractional coordinates):
Ca (0.1709, 0.0654, 0.1582)
Ca (0.1709, 0.4346, 0.1582)
Ca (0.3291, 0.5654, 0.6582)
Ca (0.3291, 0.9346, 0.6582)
Ca (0.6709, 0.0654, 0.3418)
Ca (0.6709, 0.4346, 0.3418)
Ca (0.8291, 0.5654, 0.8418)
Ca (0.8291, 0.9346, 0.8418)
Nd (0.0407, 0.2500, 0.6375)
Nd (0.4593, 0.7500, 0.1375)
Nd (0.5407, 0.2500, 0.8625)
Nd (0.9593, 0.7500, 0.3625)
Ir (0.1240, 0.7500, 0.9704)
Ir (0.3760, 0.2500, 0.4704)
Ir (0.6240, 0.7500, 0.5296)
Ir (0.8760, 0.2500, 0.0296)

Summary:
distance to the lowest polymorph of the same formula: 0.08 eV/f.u.
crystal system: orthorhombic
DOS at the Fermi energy: 3.296 states/eV/f.u.

Compound: CaNdIr
Source: Alexandria
Functional: PBE
Structure: relaxed

a b c (Å): 7.1713 7.1713 7.1713
angles (deg): 151.53 151.53 40.69
Atoms (fractional coordinates):
Ca (0.0000, 0.0000, 0.0000)
Nd (0.2505, 0.2505, 0.0000)
Ir (0.6343, 0.6343, 0.0000)

Summary:
distance to the lowest polymorph of the same formula: 0.16 eV/f.u.
crystal system: tetragonal
DOS at the Fermi energy: 1.514 states/eV/f.u.

Compound: Ca2Nd3Ir2
Source: Alexandria
Functional: PBE
Structure: relaxed

a b c (Å): 6.6043 6.6043 9.1730
angles (deg): 115.48 115.48 35.02
Atoms (fractional coordinates):
Ca (0.1715, 0.1715, 0.3083)
Ca (0.8285, 0.8285, 0.6917)
Nd (0.3803, 0.3803, 0.0678)
Nd (0.5000, 0.5000, 0.5000)
Nd (0.6197, 0.6197, 0.9322)
Ir (0.1705, 0.1705, 0.7436)
Ir (0.8295, 0.8295, 0.2564)

Summary:
crystal system: monoclinic
total energy: -5.5925 eV/atom
DOS at the Fermi energy: 5.328 states/eV/f.u.

Compound: Ca3NdIr
Source: Alexandria
Functional: PBE
Structure: relaxed

a b c (Å): 7.9171 7.9171 13.6636
angles (deg): 103.13 103.13 60.40
Atoms (fractional coordinates):
Ca (0.1213, 0.6207, 0.3781)
Ca (0.1250, 0.6308, 0.8709)
Ca (0.3648, 0.3828, 0.1257)
Ca (0.3692, 0.8750, 0.6291)
Ca (0.3793, 0.8787, 0.1219)
Ca (0.3828, 0.3648, 0.6257)
Ca (0.6172, 0.6352, 0.3743)
Ca (0.6207, 0.1213, 0.8781)
Ca (0.6308, 0.1250, 0.3709)
Ca (0.6352, 0.6172, 0.8743)
Ca (0.8750, 0.3692, 0.1291)
Ca (0.8787, 0.3793, 0.6219)
Nd (0.1022, 0.1447, 0.8769)
Nd (0.1447, 0.1022, 0.3769)
Nd (0.8553, 0.8978, 0.6231)
Nd (0.8978, 0.8553, 0.1231)
Ir (0.0000, 0.5000, 0.0000)
Ir (0.2469, 0.7531, 0.2500)
Ir (0.5000, 0.0000, 0.5000)
Ir (0.7531, 0.2469, 0.7500)

Summary:
crystal system: monoclinic
total energy: -4.1837 eV/atom
DOS at the Fermi energy: 3.720 states/eV/f.u.

Compound: CaNdIr
Source: Alexandria
Functional: PBE
Structure: relaxed

a b c (Å): 4.9108 4.9108 4.9108
angles (deg): 60.00 60.00 60.00
Atoms (fractional coordinates):
Ca (0.0000, 0.0000, 0.0000)
Nd (0.5000, 0.5000, 0.5000)
Ir (0.7500, 0.7500, 0.7500)

Summary:
distance to the lowest polymorph of the same formula: 0.00 eV/f.u.
crystal system: cubic
DOS at the Fermi energy: 0.930 states/eV/f.u.

Compound: CaNd4Ir2
Source: Alexandria
Functional: PBE
Structure: relaxed

a b c (Å): 7.8834 7.8834 8.4237
angles (deg): 108.73 108.73 94.40
Atoms (fractional coordinates):
Ca (0.0114, 0.9886, 0.7500)
Ca (0.9886, 0.0114, 0.2500)
Nd (0.2353, 0.7151, 0.9625)
Nd (0.2847, 0.3178, 0.6342)
Nd (0.2849, 0.7647, 0.5375)
Nd (0.3178, 0.2847, 0.1342)
Nd (0.6822, 0.7153, 0.8658)
Nd (0.7151, 0.2353, 0.4625)
Nd (0.7153, 0.6822, 0.3658)
Nd (0.7647, 0.2849, 0.0375)
Ir (0.0000, 0.5000, 0.5000)
Ir (0.5000, 0.0000, 0.0000)
Ir (0.5000, 0.5000, 0.0000)
Ir (0.5000, 0.5000, 0.5000)

Summary:
distance to the lowest polymorph of the same formula: 1.02 eV/f.u.
crystal system: monoclinic
DOS at the Fermi energy: 5.937 states/eV/f.u.

Compound: CaNd2Ir2
Source: Alexandria
Functional: PBE
Structure: relaxed

a b c (Å): 7.9404 7.9404 3.9280
angles (deg): 90.00 90.00 90.00
Atoms (fractional coordinates):
Ca (0.0000, 0.0000, 0.0000)
Ca (0.5000, 0.5000, 0.0000)
Nd (0.1580, 0.3420, 0.5000)
Nd (0.3420, 0.8420, 0.5000)
Nd (0.6580, 0.1580, 0.5000)
Nd (0.8420, 0.6580, 0.5000)
Ir (0.1364, 0.6364, 0.0000)
Ir (0.3636, 0.1364, 0.0000)
Ir (0.6364, 0.8636, 0.0000)
Ir (0.8636, 0.3636, 0.0000)

Summary:
crystal system: tetragonal
total energy: -6.3618 eV/atom
DOS at the Fermi energy: 2.699 states/eV/f.u.

Compound: Ca2NdIr
Source: Alexandria
Functional: PBE
Structure: relaxed

a b c (Å): 6.6659 6.6659 9.4576
angles (deg): 90.00 90.00 144.69
Atoms (fractional coordinates):
Ca (0.1517, 0.8483, 0.5671)
Ca (0.1517, 0.8483, 0.9329)
Ca (0.8483, 0.1517, 0.0671)
Ca (0.8483, 0.1517, 0.4329)
Nd (0.4203, 0.5797, 0.7500)
Nd (0.5797, 0.4203, 0.2500)
Ir (0.2309, 0.7691, 0.2500)
Ir (0.7691, 0.2309, 0.7500)

Summary:
distance to the lowest polymorph of the same formula: 0.00 eV/f.u.
crystal system: orthorhombic
DOS at the Fermi energy: 2.202 states/eV/f.u.

Compound: CaNd4Ir2
Source: Alexandria
Functional: PBE
Structure: relaxed

a b c (Å): 7.3886 6.7782 9.2243
angles (deg): 90.00 113.29 90.00
Atoms (fractional coordinates):
Ca (0.0427, 0.2500, 0.2943)
Ca (0.9573, 0.7500, 0.7057)
Nd (0.2469, 0.2500, 0.7079)
Nd (0.2789, 0.5022, 0.0567)
Nd (0.2789, 0.9978, 0.0567)
Nd (0.3352, 0.7500, 0.5028)
Nd (0.6648, 0.2500, 0.4972)
Nd (0.7211, 0.0022, 0.9433)
Nd (0.7211, 0.4978, 0.9433)
Nd (0.7531, 0.7500, 0.2921)
Ir (0.0376, 0.7500, 0.1720)
Ir (0.3771, 0.7500, 0.8316)
Ir (0.6229, 0.2500, 0.1684)
Ir (0.9624, 0.2500, 0.8280)

Summary:
distance to the lowest polymorph of the same formula: 0.00 eV/f.u.
crystal system: monoclinic
DOS at the Fermi energy: 8.403 states/eV/f.u.

Compound: Ca2NdIr9
Source: Alexandria
Functional: PBE
Structure: relaxed

a b c (Å): 9.2649 9.2649 9.2649
angles (deg): 33.63 33.63 33.63
Atoms (fractional coordinates):
Ca (0.1414, 0.1414, 0.1414)
Ca (0.8586, 0.8586, 0.8586)
Nd (0.0000, 0.0000, 0.0000)
Ir (0.0835, 0.5807, 0.5807)
Ir (0.3328, 0.3328, 0.3328)
Ir (0.4193, 0.4193, 0.9165)
Ir (0.4193, 0.9165, 0.4193)
Ir (0.5000, 0.5000, 0.5000)
Ir (0.5807, 0.0835, 0.5807)
Ir (0.5807, 0.5807, 0.0835)
Ir (0.6672, 0.6672, 0.6672)
Ir (0.9165, 0.4193, 0.4193)

Summary:
crystal system: trigonal
total energy: -7.7437 eV/atom
DOS at the Fermi energy: 11.790 states/eV/f.u.

Compound: Ca3Nd2Ir2
Source: Alexandria
Functional: PBE
Structure: relaxed

a b c (Å): 6.6752 6.6752 8.3966
angles (deg): 110.17 110.17 35.79
Atoms (fractional coordinates):
Ca (0.0000, 0.0000, 0.0000)
Ca (0.1323, 0.1323, 0.4306)
Ca (0.8677, 0.8677, 0.5694)
Nd (0.3308, 0.3308, 0.1792)
Nd (0.6692, 0.6692, 0.8208)
Ir (0.3166, 0.3166, 0.8041)
Ir (0.6834, 0.6834, 0.1959)

Summary:
crystal system: monoclinic
total energy: -5.1820 eV/atom
DOS at the Fermi energy: 2.670 states/eV/f.u.

Compound: CaNdIr4
Source: Alexandria
Functional: PBE
Structure: relaxed

a b c (Å): 5.4062 5.4062 5.4062
angles (deg): 60.00 60.00 60.00
Atoms (fractional coordinates):
Ca (0.0000, 0.0000, 0.0000)
Nd (0.7500, 0.7500, 0.7500)
Ir (0.3748, 0.3748, 0.3748)
Ir (0.3748, 0.3748, 0.8756)
Ir (0.3748, 0.8756, 0.3748)
Ir (0.8756, 0.3748, 0.3748)

Summary:
crystal system: cubic
total energy: -7.6223 eV/atom
DOS at the Fermi energy: 7.706 states/eV/f.u.

Compound: CaNd5Ir4
Source: Alexandria
Functional: PBE
Structure: relaxed

a b c (Å): 9.6086 9.6086 7.5782
angles (deg): 113.13 113.13 26.21
Atoms (fractional coordinates):
Ca (0.0000, 0.0000, 0.0000)
Nd (0.0000, 0.0000, 0.5000)
Nd (0.3360, 0.3360, 0.0763)
Nd (0.3360, 0.3360, 0.5945)
Nd (0.6640, 0.6640, 0.4055)
Nd (0.6640, 0.6640, 0.9237)
Ir (0.2042, 0.2042, 0.2046)
Ir (0.4999, 0.4999, 0.2580)
Ir (0.5001, 0.5001, 0.7420)
Ir (0.7958, 0.7958, 0.7954)

Summary:
distance to the lowest polymorph of the same formula: 1.01 eV/f.u.
crystal system: monoclinic
DOS at the Fermi energy: 4.777 states/eV/f.u.

Compound: CaNd2Ir9
Source: Alexandria
Functional: PBE
Structure: relaxed

a b c (Å): 9.3631 9.3631 9.3631
angles (deg): 33.35 33.35 33.35
Atoms (fractional coordinates):
Ca (0.0000, 0.0000, 0.0000)
Nd (0.1382, 0.1382, 0.1382)
Nd (0.8618, 0.8618, 0.8618)
Ir (0.0843, 0.5787, 0.5787)
Ir (0.3319, 0.3319, 0.3319)
Ir (0.4213, 0.4213, 0.9157)
Ir (0.4213, 0.9157, 0.4213)
Ir (0.5000, 0.5000, 0.5000)
Ir (0.5787, 0.0843, 0.5787)
Ir (0.5787, 0.5787, 0.0843)
Ir (0.6681, 0.6681, 0.6681)
Ir (0.9157, 0.4213, 0.4213)

Summary:
crystal system: trigonal
total energy: -8.0330 eV/atom
DOS at the Fermi energy: 11.445 states/eV/f.u.